HfMgSnRu: optimized geometry, GGA-PBE.

Geometry as extended XYZ:
```
4
Lattice="-0.562 -0.687 4.575 -1.007 -4.256 1.610 3.192 -2.396 2.405" Properties=species:S:1:pos:R:3 pbc="T T T"
Ru 0.812 -3.670 4.295
Mg 0.000 0.000 0.000
Hf 1.218 -5.505 6.443
Sn 0.406 -1.835 2.148
```

Calculated values
**SG**: F-43m
**Magnetization**: 0.000 μB per atom
**Total DFT energy (no corrections)**: -6.521 eV per atom
**Energy of formation**: -1.3 eV/f.u.



Nd2AlNi5: optimized geometry, GGA-PBE.

Geometry as extended XYZ:
```
8
Lattice="-2.713 3.211 4.076 3.285 -4.602 1.521 4.587 2.154 -2.934" Properties=species:S:1:pos:R:3 pbc="T T T"
Nd 2.826 2.095 0.232
Nd 2.175 -1.284 2.460
Al 7.789 -2.423 -1.398
Ni 4.390 -0.368 0.725
Ni 3.600 -2.629 0.243
Ni 4.149 0.218 -1.634
Ni 0.647 1.168 1.960
Ni 2.232 -0.694 -0.401
```

Calculated values
**SG**: I4mm
**Magnetization**: 0.000 μB per atom
**Total DFT energy (no corrections)**: -5.534 eV per atom
**Energy of formation**: -2.1 eV/f.u.



Zr2TaAl: optimized geometry, GGA-PBE.

Geometry as extended XYZ:
```
4
Lattice="5.245 0.008 -0.013 4.343 2.940 -0.013 0.882 0.271 5.217" Properties=species:S:1:pos:R:3 pbc="T T T"
Al 2.617 0.805 1.298
Zr 9.520 2.927 0.031
Zr 5.303 1.630 2.540
Ta 7.852 2.414 3.894
```

Calculated values
**SG**: C2/m
**Magnetization**: 0.000 μB per atom
**Total DFT energy (no corrections)**: -8.211 eV per atom
**Energy of formation**: -0.2 eV/f.u.



BeCu3: optimized geometry, GGA-PBE.

Geometry as extended XYZ:
```
4
Lattice="-1.240 1.862 -1.268 1.187 -1.604 -3.515 -3.511 -2.399 -0.091" Properties=species:S:1:pos:R:3 pbc="T T T"
Be -3.483 -2.381 -0.090
Cu -2.351 -0.252 -0.679
Cu -3.000 -1.903 -2.469
Cu -0.580 -1.604 -1.788
```

Calculated values
**SG**: Pmm2
**Magnetization**: 0.000 μB per atom
**Total DFT energy (no corrections)**: -3.996 eV per atom
**Energy of formation**: 0.0 eV/f.u.



ZrIn2Pt: optimized geometry, GGA-PBE.

Geometry as extended XYZ:
```
4
Lattice="3.350 -0.015 0.000 0.012 3.350 0.000 0.000 0.000 7.735" Properties=species:S:1:pos:R:3 pbc="T T T"
In 0.000 0.000 7.628
In 1.681 1.667 2.199
Pt 0.000 0.000 4.002
Zr 1.681 1.667 5.510
```

Calculated values
**SG**: P4mm
**Magnetization**: 0.000 μB per atom
**Total DFT energy (no corrections)**: -5.425 eV per atom
**Energy of formation**: -1.6 eV/f.u.



EuTmTl: optimized geometry, GGA-PBE.

Geometry as extended XYZ:
```
3
Lattice="3.754 0.000 0.000 0.000 5.361 0.000 0.000 -2.681 4.643" Properties=species:S:1:pos:R:3 pbc="T T T"
Eu 2.562 0.000 3.095
Tl 0.373 0.000 0.000
Tm 0.819 2.681 1.548
```

Calculated values
**SG**: P3m1
**Magnetization**: 2.390 μB per atom
**Total DFT energy (no corrections)**: -5.855 eV per atom
**Energy relative to the lowest polymorph listed for this composition**: 36 meV/atom
**Energy of formation**: -0.5 eV/f.u.